# K6AgHg | Alexandria via LeMat-Bulk | PBE-GGA | relaxed
data_K6AgHg
_chemical_formula_sum 'K12 Ag2 Hg2'
_cell_length_a 4.597
_cell_length_b 13.174
_cell_length_c 14.658
_cell_angle_alpha 90.00
_cell_angle_beta 90.00
_cell_angle_gamma 90.00
_symmetry_space_group_name_H-M 'A m m 2'
_symmetry_Int_Tables_number 38
loop_
_symmetry_equiv_pos_as_xyz
'x,y,z'
'-x,-y,z'
'-x,y,z'
'x,-y,z'
'x,y+1/2,z+1/2'
'-x,-y+1/2,z+1/2'
'-x,y+1/2,z+1/2'
'x,-y+1/2,z+1/2'
loop_
_atom_site_label
_atom_site_type_symbol
_atom_site_fract_x
_atom_site_fract_y
_atom_site_fract_z
K1 K 0.000 0.000 0.000
K2 K 0.000 0.161 0.714
K3 K 0.500 0.000 0.268
K4 K 0.500 0.214 0.466
Ag1 Ag 0.500 0.000 0.602
Hg1 Hg 0.000 0.000 0.478
# Calculated volume ... 887.8 Å³ per cell
# Final energy ... -1.254 eV/atom
# Crystal system ... orthorhombic
# Calculated formation energy ... -36.8 meV per atom